Record 1
Li2AlSnN after structural relaxation, computed with PBE.

Cell and atoms, written as CIF:
```
data_Li2AlSnN
_chemical_formula_sum 'Li2 Al1 Sn1 N1'
_cell_length_a 4.4805
_cell_length_b 4.4805
_cell_length_c 3.6486
_cell_angle_alpha 90.00
_cell_angle_beta 90.00
_cell_angle_gamma 90.00
_symmetry_space_group_name_H-M 'P 4/m m m'
_symmetry_Int_Tables_number 123
_symmetry_space_group_name_Hall '-P 4 2'
loop_
_atom_site_label
_atom_site_type_symbol
_atom_site_fract_x
_atom_site_fract_y
_atom_site_fract_z
Li1 Li 0.0000 0.5000 0.0000
Al1 Al 0.0000 0.0000 0.5000
Sn1 Sn 0.5000 0.5000 0.5000
N1 N 0.0000 0.0000 0.0000
```

The calculation puts the electronic total energy at -4.359 eV per atom.



Record 2
La2SiHg after structural relaxation, computed with PBE.

Cell and atoms, written as CIF:
```
data_La2SiHg
_chemical_formula_sum 'La8 Si4 Hg4'
_cell_length_a 7.4878
_cell_length_b 7.4878
_cell_length_c 7.4878
_cell_angle_alpha 90.00
_cell_angle_beta 90.00
_cell_angle_gamma 90.00
_symmetry_space_group_name_H-M 'F -4 3 m'
_symmetry_Int_Tables_number 216
_symmetry_space_group_name_Hall 'F -4 2 3'
loop_
_atom_site_label
_atom_site_type_symbol
_atom_site_fract_x
_atom_site_fract_y
_atom_site_fract_z
La1 La 0.0000 0.0000 0.0000
La2 La 0.2500 0.2500 0.2500
Si1 Si 0.2500 0.2500 0.7500
Hg1 Hg 0.0000 0.0000 0.5000
```

The calculation puts the electronic total energy at -3.857 eV per atom.